Entry 1:
First-principles (PBE-GGA) data for an optimized crystal structure of Y4Er8Th, as listed in Alexandria via LeMat-Bulk.

a b c (Å): 7.7297 7.7297 7.7297
angles (deg): 90.09 90.09 90.09
Atoms (fractional coordinates):
1 Y 0.0000 0.0000 0.0000
2 Y 0.0000 0.5000 0.5000
3 Y 0.5000 0.0000 0.5000
4 Y 0.5000 0.5000 0.0000
5 Er 0.2412 0.2412 0.2412
6 Er 0.2409 0.2409 0.7580
7 Er 0.2409 0.7580 0.2409
8 Er 0.2420 0.7591 0.7591
9 Er 0.7580 0.2409 0.2409
10 Er 0.7591 0.2420 0.7591
11 Er 0.7591 0.7591 0.2420
12 Er 0.7588 0.7588 0.7588
13 Th 0.5000 0.5000 0.5000

Spin magnetization, μB per formula unit: 1.98
Uncorrected energy, eV/f.u.: -62.790
Formation enthalpy at 0 K, kJ per mole of atoms: 52

Entry 2:
First-principles (PBE-GGA) data for an optimized crystal structure of Sc5NiPd, as listed in Alexandria via LeMat-Bulk.

a b c (Å): 6.1387 6.1387 10.0260
angles (deg): 109.90 109.90 61.48
Atoms (fractional coordinates):
1 Sc 0.0239 0.9761 0.7500
2 Sc 0.0486 0.4057 0.6456
3 Sc 0.2235 0.5427 0.9838
4 Sc 0.4057 0.0486 0.1456
5 Sc 0.4573 0.7765 0.5162
6 Sc 0.5427 0.2235 0.4838
7 Sc 0.5943 0.9514 0.8544
8 Sc 0.7765 0.4573 0.0162
9 Sc 0.9514 0.5943 0.3544
10 Sc 0.9761 0.0239 0.2500
11 Ni 0.0000 0.0000 0.0000
12 Ni 0.0000 0.0000 0.5000
13 Pd 0.4836 0.5164 0.7500
14 Pd 0.5164 0.4836 0.2500

Spin magnetization, μB per formula unit: 0.00
Uncorrected energy, eV/f.u.: -44.111
Formation enthalpy at 0 K, kJ per mole of atoms: -20

Entry 3:
First-principles (PBE-GGA) data for an optimized crystal structure of Ba3BS, as listed in Alexandria via LeMat-Bulk.

a b c (Å): 5.7712 5.7712 5.7712
angles (deg): 90.00 90.00 90.00
Atoms (fractional coordinates):
1 Ba 0.0000 0.0000 0.5000
2 Ba 0.0000 0.5000 0.0000
3 Ba 0.5000 0.0000 0.0000
4 B 0.0000 0.0000 0.0000
5 S 0.5000 0.5000 0.5000

Spin magnetization, μB per formula unit: 0.00
Uncorrected energy, eV/f.u.: -16.862
Polymorph energy (0 for the lowest one), eV/atom: 0.0000
ΔE_f (raw), eV per atom: -0.06

Entry 4:
First-principles (PBE-GGA) data for an optimized crystal structure of SrPmCuP, as listed in Alexandria via LeMat-Bulk.

a b c (Å): 5.1237 5.1237 5.1237
angles (deg): 60.00 60.00 60.00
Atoms (fractional coordinates):
1 Sr 0.0000 0.0000 0.0000
2 Pm 0.5000 0.5000 0.5000
3 Cu 0.7500 0.7500 0.7500
4 P 0.2500 0.2500 0.2500

Spin magnetization, μB per formula unit: 0.00
Uncorrected energy, eV/f.u.: -17.790
Formation enthalpy at 0 K, kJ per mole of atoms: -45

Entry 5:
First-principles (PBE-GGA) data for an optimized crystal structure of Nd6Sm7Dy16, as listed in Alexandria via LeMat-Bulk.

a b c (Å): 11.2442 11.2442 11.2442
angles (deg): 60.00 60.00 60.00
Atoms (fractional coordinates):
1 Nd 0.2331 0.2331 0.7669
2 Nd 0.2331 0.7669 0.2331
3 Nd 0.2331 0.7669 0.7669
4 Nd 0.7669 0.2331 0.2331
5 Nd 0.7669 0.2331 0.7669
6 Nd 0.7669 0.7669 0.2331
7 Sm 0.0000 0.0000 0.5000
8 Sm 0.0000 0.5000 0.0000
9 Sm 0.0000 0.5000 0.5000
10 Sm 0.5000 0.0000 0.0000
11 Sm 0.5000 0.0000 0.5000
12 Sm 0.5000 0.5000 0.0000
13 Sm 0.5000 0.5000 0.5000
14 Dy 0.1144 0.6285 0.6285
15 Dy 0.1506 0.1506 0.1506
16 Dy 0.1506 0.1506 0.5482
17 Dy 0.1506 0.5482 0.1506
18 Dy 0.3715 0.3715 0.3715
19 Dy 0.3715 0.3715 0.8856
20 Dy 0.3715 0.8856 0.3715
21 Dy 0.4518 0.8494 0.8494
22 Dy 0.5482 0.1506 0.1506
23 Dy 0.6285 0.1144 0.6285
24 Dy 0.6285 0.6285 0.1144
25 Dy 0.6285 0.6285 0.6285
26 Dy 0.8494 0.4518 0.8494
27 Dy 0.8494 0.8494 0.4518
28 Dy 0.8494 0.8494 0.8494
29 Dy 0.8856 0.3715 0.3715

Spin magnetization, μB per formula unit: 0.00
Uncorrected energy, eV/f.u.: -128.474
Formation enthalpy at 0 K, kJ per mole of atoms: 23

Entry 6:
First-principles (PBE-GGA) data for an optimized crystal structure of CaZrPd3, as listed in Alexandria via LeMat-Bulk.

a b c (Å): 4.9857 4.9857 4.9857
angles (deg): 90.00 90.00 90.00
Atoms (fractional coordinates):
1 Ca 0.0000 0.0000 0.0000
2 Zr 0.5000 0.5000 0.5000
3 Pd 0.0000 0.5000 0.5000
4 Pd 0.5000 0.0000 0.5000
5 Pd 0.5000 0.5000 0.0000

Spin magnetization, μB per formula unit: 0.00
Uncorrected energy, eV/f.u.: -26.174
Polymorph energy (0 for the lowest one), eV/atom: 0.0000
Formation enthalpy at 0 K, kJ per mole of atoms: -1

Entry 7:
First-principles (PBE-GGA) data for an optimized crystal structure of Si2AuSe, as listed in Alexandria via LeMat-Bulk.

a b c (Å): 6.1490 6.1490 6.1490
angles (deg): 154.81 130.76 56.09
Atoms (fractional coordinates):
1 Si 0.2222 0.2222 0.0000
2 Si 0.7778 0.7778 0.0000
3 Au 0.0000 0.5000 0.5000
4 Se 0.5000 0.0000 0.5000

Spin magnetization, μB per formula unit: 0.00
Uncorrected energy, eV/f.u.: -15.727
ΔE_f (raw), eV per atom: 0.47

Entry 8:
First-principles (PBE-GGA) data for an optimized crystal structure of Zn5GaCu6, as listed in Alexandria via LeMat-Bulk.

a b c (Å): 6.4207 6.4207 6.3375
angles (deg): 90.00 90.00 142.93
Atoms (fractional coordinates):
1 Zn 0.0000 0.0000 0.0000
2 Zn 0.3309 0.6691 0.5000
3 Zn 0.3340 0.6660 0.0000
4 Zn 0.6660 0.3340 0.0000
5 Zn 0.6691 0.3309 0.5000
6 Ga 0.0000 0.0000 0.5000
7 Cu 0.1665 0.8335 0.2481
8 Cu 0.1665 0.8335 0.7519
9 Cu 0.5000 0.5000 0.2517
10 Cu 0.5000 0.5000 0.7483
11 Cu 0.8335 0.1665 0.2481
12 Cu 0.8335 0.1665 0.7519

Spin magnetization, μB per formula unit: 0.00
Uncorrected energy, eV/f.u.: -34.959
Formation enthalpy at 0 K, kJ per mole of atoms: -8

Entry 9:
First-principles (PBE-GGA) data for an optimized crystal structure of In8GaPb2, as listed in Alexandria via LeMat-Bulk.

a b c (Å): 8.8579 8.8579 7.0666
angles (deg): 102.91 102.91 33.94
Atoms (fractional coordinates):
1 In 0.0360 0.0360 0.2318
2 In 0.1405 0.1405 0.6670
3 In 0.3309 0.3309 0.6009
4 In 0.4138 0.4138 0.0661
5 In 0.5862 0.5862 0.9339
6 In 0.6691 0.6691 0.3991
7 In 0.8595 0.8595 0.3330
8 In 0.9640 0.9640 0.7682
9 Ga 0.5000 0.5000 0.5000
10 Pb 0.2234 0.2234 0.1428
11 Pb 0.7766 0.7766 0.8572

Spin magnetization, μB per formula unit: 0.00
Uncorrected energy, eV/f.u.: -32.106
Formation enthalpy at 0 K, kJ per mole of atoms: 2

Entry 10:
First-principles (PBE-GGA) data for an optimized crystal structure of Na2PrHgBi2, as listed in Alexandria via LeMat-Bulk.

a b c (Å): 4.6503 9.3788 8.5783
angles (deg): 90.00 90.00 90.00
Atoms (fractional coordinates):
1 Na 0.0000 0.0713 0.0000
2 Na 0.0000 0.9287 0.5000
3 Na 0.5000 0.1714 0.3198
4 Na 0.5000 0.8286 0.8198
5 Pr 0.5000 0.4525 0.9106
6 Pr 0.5000 0.5475 0.4106
7 Hg 0.0000 0.3023 0.5573
8 Hg 0.0000 0.6977 0.0573
9 Bi 0.0000 0.3891 0.1800
10 Bi 0.0000 0.6109 0.6800
11 Bi 0.5000 0.1530 0.7143
12 Bi 0.5000 0.8470 0.2143

Spin magnetization, μB per formula unit: 0.00
Uncorrected energy, eV/f.u.: -18.132
Formation enthalpy at 0 K, kJ per mole of atoms: -43

Entry 11:
First-principles (PBE-GGA) data for an optimized crystal structure of Dy3TmNi2, as listed in Alexandria via LeMat-Bulk.

a b c (Å): 8.2459 8.2459 11.2927
angles (deg): 122.24 122.24 27.04
Atoms (fractional coordinates):
1 Dy 0.0814 0.0814 0.4414
2 Dy 0.0823 0.0823 0.9388
3 Dy 0.3452 0.3452 0.7540
4 Dy 0.6548 0.6548 0.2460
5 Dy 0.9177 0.9177 0.0612
6 Dy 0.9186 0.9186 0.5586
7 Tm 0.3441 0.3441 0.2528
8 Tm 0.6559 0.6559 0.7472
9 Ni 0.2684 0.2684 0.9492
10 Ni 0.2688 0.2688 0.4487
11 Ni 0.7312 0.7312 0.5513
12 Ni 0.7316 0.7316 0.0508

Spin magnetization, μB per formula unit: 0.00
Uncorrected energy, eV/f.u.: -31.661
Formation enthalpy at 0 K, kJ per mole of atoms: -29

Entry 12:
First-principles (PBE-GGA) data for an optimized crystal structure of Ba3NpO5, as listed in Alexandria via LeMat-Bulk.

a b c (Å): 8.3780 8.3780 8.3780
angles (deg): 126.53 126.53 79.02
Atoms (fractional coordinates):
1 Ba 0.1830 0.6830 0.8660
2 Ba 0.2500 0.2500 0.0000
3 Ba 0.3170 0.1830 0.5000
4 Ba 0.6830 0.8170 0.5000
5 Ba 0.7500 0.7500 0.0000
6 Ba 0.8170 0.3170 0.1340
7 Np 0.2500 0.7500 0.5000
8 Np 0.7500 0.2500 0.5000
9 O 0.0000 0.0000 0.0000
10 O 0.0012 0.2006 0.5000
11 O 0.2006 0.7006 0.1994
12 O 0.2994 0.4988 0.5000
13 O 0.4988 0.9988 0.1994
14 O 0.5000 0.5000 0.0000
15 O 0.5012 0.0012 0.8006
16 O 0.7006 0.5012 0.5000
17 O 0.7994 0.2994 0.8006
18 O 0.9988 0.7994 0.5000

Spin magnetization, μB per formula unit: 3.00
Uncorrected energy, eV/f.u.: -66.472
ΔE_f (raw), eV per atom: -2.55

What is the spin magnetization in the eleventh record?
0.00 μB per formula unit

Which formula does entry 2 have?
Sc5NiPd

Which of these has the highest uncorrected energy?
Si2AuSe